A plane-wave DFT calculation with PBE with a Hubbard U was carried out for a relaxed NaCo2F6 crystal.

a = 5.2739 Å, b = 5.2739 Å, c = 4.9512 Å
α = 90.00°, β = 90.00°, γ = 120.00°
Last column: nearest neighbours and their distance in Å.
Space group P-31m (No. 162)
Unique sites:
Na  0.0000  0.0000  0.0000  6 F 2.38
Co  0.3333  0.6667  0.5000  6 F 1.99
F  0.0000  0.3623  0.7145  2 Co 1.99

* raw total energy: -4.705 eV per atom